Below is a geometry-optimized CsMoO3 structure, with properties calculated at the PBE+U level.

a b c (Å): 5.287 12.965 6.520
angles (deg): 90.00 90.00 90.00
Space group Pnma (No. 62)
Symmetry-distinct sites (fractional):
Cs: 0.000 0.000 0.000 (multiplicity 4)
Mo: 0.049 0.250 0.434 (multiplicity 4)
O: 0.012 0.628 0.448 (multiplicity 8)
O: 0.092 0.750 0.847 (multiplicity 4)

Summary:
Mass density ... 4.11 g cm⁻³
Calculated volume ... 112 Å³/f.u.
DFT total energy ... -125.1 eV for the cell shown
Total moment ... 1.00 μB per formula unit
Density of states at the Fermi level ... 0.00 states/eV per atom